# CaLa2AlMo (PBE, optimized geometry)
# * calculated formation energy: 0.172 eV/atom
data_CaLa2AlMo
_cell_length_a 5.4422
_cell_length_b 5.4422
_cell_length_c 5.2579
_cell_angle_alpha 90.00
_cell_angle_beta 90.00
_cell_angle_gamma 90.00
_symmetry_space_group_name_H-M 'P 4/m m m'
_symmetry_Int_Tables_number 123
_symmetry_space_group_name_Hall '-P 4 2'
loop_
_atom_site_label
_atom_site_type_symbol
_atom_site_fract_x
_atom_site_fract_y
_atom_site_fract_z
_atom_site_occupancy
Ca1 Ca 0.0000 0.0000 0.0000 1
La1 La 0.0000 0.5000 0.5000 1
Al1 Al 0.5000 0.5000 0.0000 1
Mo1 Mo 0.5000 0.5000 0.5000 1

---

# CrIn3 (PBE, optimized geometry)
# * calculated formation energy: 0.314 eV/atom
data_CrIn3
_cell_length_a 3.8729
_cell_length_b 3.8729
_cell_length_c 6.0622
_cell_angle_alpha 90.00
_cell_angle_beta 90.00
_cell_angle_gamma 90.00
_symmetry_space_group_name_H-M 'P 4/m m m'
_symmetry_Int_Tables_number 123
_symmetry_space_group_name_Hall '-P 4 2'
loop_
_atom_site_label
_atom_site_type_symbol
_atom_site_fract_x
_atom_site_fract_y
_atom_site_fract_z
_atom_site_occupancy
Cr1 Cr 0.0000 0.0000 0.0000 1
In1 In 0.0000 0.0000 0.5000 1
In2 In 0.5000 0.5000 0.2396 1

---

# InP2BrCl (PBE, optimized geometry)
# * E above lowest polymorph: 0 meV/atom
data_InP2BrCl
_cell_length_a 5.2663
_cell_length_b 5.2663
_cell_length_c 5.0852
_cell_angle_alpha 90.00
_cell_angle_beta 90.00
_cell_angle_gamma 90.00
_symmetry_space_group_name_H-M 'P 4/m m m'
_symmetry_Int_Tables_number 123
_symmetry_space_group_name_Hall '-P 4 2'
loop_
_atom_site_label
_atom_site_type_symbol
_atom_site_fract_x
_atom_site_fract_y
_atom_site_fract_z
_atom_site_occupancy
In1 In 0.0000 0.0000 0.0000 1
P1 P 0.0000 0.5000 0.0000 1
Br1 Br 0.5000 0.5000 0.5000 1
Cl1 Cl 0.0000 0.0000 0.5000 1

---

# Li2TcOs (PBE, optimized geometry)
# * E above lowest polymorph: 66 meV/atom
# * calculated formation energy: 0.176 eV/atom
data_Li2TcOs
_cell_length_a 2.6480
_cell_length_b 4.0617
_cell_length_c 5.4718
_cell_angle_alpha 90.00
_cell_angle_beta 90.00
_cell_angle_gamma 90.00
_symmetry_space_group_name_H-M 'P m m 2'
_symmetry_Int_Tables_number 25
loop_
_symmetry_equiv_pos_as_xyz
'x,y,z'
'-x,-y,z'
'-x,y,z'
'x,-y,z'
loop_
_atom_site_label
_atom_site_type_symbol
_atom_site_fract_x
_atom_site_fract_y
_atom_site_fract_z
_atom_site_occupancy
Li1 Li 0.0000 0.0000 0.0000 1
Li2 Li 0.5000 0.5000 0.2122 1
Tc1 Tc 0.5000 0.5000 0.6849 1
Os1 Os 0.0000 0.0000 0.5172 1

---

# YSbP2 (PBE, optimized geometry)
# * uncorrected energy: -71.67 eV per cell
data_YSbP2
_cell_length_a 3.9923
_cell_length_b 3.9923
_cell_length_c 20.0016
_cell_angle_alpha 90.00
_cell_angle_beta 90.00
_cell_angle_gamma 120.00
_symmetry_space_group_name_H-M 'R -3 m'
_symmetry_Int_Tables_number 166
_symmetry_space_group_name_Hall '-R 3 2"'
loop_
_atom_site_label
_atom_site_type_symbol
_atom_site_fract_x
_atom_site_fract_y
_atom_site_fract_z
_atom_site_occupancy
Y1 Y 0.0000 0.0000 0.0000 1
Sb1 Sb 0.0000 0.0000 0.5000 1
P1 P 0.0000 0.0000 0.2497 1

---

# TiAl3Br (PBE, optimized geometry)
# * E above lowest polymorph: 0 meV/atom
data_TiAl3Br
_cell_length_a 5.2588
_cell_length_b 5.2588
_cell_length_c 5.2588
_cell_angle_alpha 90.00
_cell_angle_beta 90.00
_cell_angle_gamma 90.00
_symmetry_space_group_name_H-M 'P m -3 m'
_symmetry_Int_Tables_number 221
_symmetry_space_group_name_Hall '-P 4 2 3'
loop_
_atom_site_label
_atom_site_type_symbol
_atom_site_fract_x
_atom_site_fract_y
_atom_site_fract_z
_atom_site_occupancy
Ti1 Ti 0.0000 0.0000 0.0000 1
Al1 Al 0.0000 0.0000 0.5000 1
Br1 Br 0.5000 0.5000 0.5000 1

---

# CaPuHg4 (PBE, optimized geometry)
# * E above lowest polymorph: 135 meV/atom
# * calculated formation energy: -0.132 eV/atom
data_CaPuHg4
_cell_length_a 8.5544
_cell_length_b 8.5544
_cell_length_c 8.5544
_cell_angle_alpha 90.00
_cell_angle_beta 90.00
_cell_angle_gamma 90.00
_symmetry_space_group_name_H-M 'F -4 3 m'
_symmetry_Int_Tables_number 216
_symmetry_space_group_name_Hall 'F -4 2 3'
loop_
_atom_site_label
_atom_site_type_symbol
_atom_site_fract_x
_atom_site_fract_y
_atom_site_fract_z
_atom_site_occupancy
Ca1 Ca 0.0000 0.0000 0.0000 1
Pu1 Pu 0.2500 0.2500 0.7500 1
Hg1 Hg 0.1250 0.1250 0.3750 1

---

# Be3SnHg (PBE, optimized geometry)
# * E above lowest polymorph: 245 meV/atom
# * calculated formation energy: 1.113 eV/atom
data_Be3SnHg
_cell_length_a 4.6930
_cell_length_b 4.6930
_cell_length_c 4.6930
_cell_angle_alpha 90.00
_cell_angle_beta 90.00
_cell_angle_gamma 90.00
_symmetry_space_group_name_H-M 'P m -3 m'
_symmetry_Int_Tables_number 221
_symmetry_space_group_name_Hall '-P 4 2 3'
loop_
_atom_site_label
_atom_site_type_symbol
_atom_site_fract_x
_atom_site_fract_y
_atom_site_fract_z
_atom_site_occupancy
Be1 Be 0.0000 0.0000 0.5000 1
Sn1 Sn 0.0000 0.0000 0.0000 1
Hg1 Hg 0.5000 0.5000 0.5000 1

---

# SrPuBr6 (PBE, optimized geometry)
# * uncorrected energy: -115.86 eV per cell
data_SrPuBr6
_cell_length_a 7.2148
_cell_length_b 7.2148
_cell_length_c 20.0790
_cell_angle_alpha 90.00
_cell_angle_beta 90.00
_cell_angle_gamma 120.00
_symmetry_space_group_name_H-M 'R -3'
_symmetry_Int_Tables_number 148
_symmetry_space_group_name_Hall '-R 3'
loop_
_atom_site_label
_atom_site_type_symbol
_atom_site_fract_x
_atom_site_fract_y
_atom_site_fract_z
_atom_site_occupancy
Sr1 Sr 0.0000 0.0000 0.0000 1
Pu1 Pu 0.0000 0.0000 0.5000 1
Br1 Br 0.0125 0.6516 0.0868 1

---

# Nb2MoPt4 (PBE, optimized geometry)
# * calculated formation energy: -0.359 eV/atom
data_Nb2MoPt4
_cell_length_a 7.8049
_cell_length_b 7.8110
_cell_length_c 8.0347
_cell_angle_alpha 90.00
_cell_angle_beta 90.00
_cell_angle_gamma 90.00
_symmetry_space_group_name_H-M 'F m m m'
_symmetry_Int_Tables_number 69
_symmetry_space_group_name_Hall '-F 2 2'
loop_
_atom_site_label
_atom_site_type_symbol
_atom_site_fract_x
_atom_site_fract_y
_atom_site_fract_z
_atom_site_occupancy
Nb1 Nb 0.2500 0.2500 0.0000 1
Mo1 Mo 0.0000 0.0000 0.0000 1
Pt1 Pt 0.0000 0.2500 0.2500 1
Pt2 Pt 0.2500 0.0000 0.2500 1

---

# CaCrB12 (PBE, optimized geometry)
# * calculated formation energy: -0.028 eV/atom
data_CaCrB12
_cell_length_a 4.1321
_cell_length_b 4.1321
_cell_length_c 8.2557
_cell_angle_alpha 90.00
_cell_angle_beta 90.00
_cell_angle_gamma 90.00
_symmetry_space_group_name_H-M 'P 4/m m m'
_symmetry_Int_Tables_number 123
_symmetry_space_group_name_Hall '-P 4 2'
loop_
_atom_site_label
_atom_site_type_symbol
_atom_site_fract_x
_atom_site_fract_y
_atom_site_fract_z
_atom_site_occupancy
Ca1 Ca 0.0000 0.0000 0.0000 1
Cr1 Cr 0.0000 0.0000 0.5000 1
B1 B 0.2000 0.5000 0.2512 1
B2 B 0.5000 0.5000 0.1006 1
B3 B 0.5000 0.5000 0.4007 1

---

# Dy3TeS2 (PBE, optimized geometry)
# * uncorrected energy: -136.87 eV per cell
data_Dy3TeS2
_cell_length_a 4.0921
_cell_length_b 13.8064
_cell_length_c 10.6926
_cell_angle_alpha 90.00
_cell_angle_beta 90.00
_cell_angle_gamma 90.00
_symmetry_space_group_name_H-M 'C m c m'
_symmetry_Int_Tables_number 63
_symmetry_space_group_name_Hall '-C 2c 2'
loop_
_atom_site_label
_atom_site_type_symbol
_atom_site_fract_x
_atom_site_fract_y
_atom_site_fract_z
_atom_site_occupancy
Dy1 Dy 0.0000 0.0745 0.2500 1
Dy2 Dy 0.0000 0.3553 0.0445 1
Te1 Te 0.0000 0.2573 0.7500 1
S1 S 0.0000 0.0000 0.0000 1
S2 S 0.0000 0.4563 0.2500 1

---

What is the formula in the fifth record? YSbP2